# 1
Material: Ba3FeHg
Method: DFT, PBEsol
State: relaxed

a = 5.6946 Å, b = 5.6946 Å, c = 5.6946 Å
α = 90.00°, β = 90.00°, γ = 90.00°
Each line ends with the local moment (μB).
Sites, in units of the cell vectors:
Ba  0.0000  0.0000  0.5000  -0.06
Ba  0.5000  0.0000  0.0000  -0.06
Ba  0.0000  0.5000  0.0000  -0.06
Hg  0.5000  0.5000  0.5000  0.00
Fe  0.0000  0.0000  0.0000  1.44

DFT formation energy in eV/atom: 0.28
Total DFT energy (no corrections) in eV/atom: -2.9160
Offset from the most stable computed form in meV/atom: 0
V in Å³ per cell: 184.7
M_tot in μB/f.u.: 1.08



# 2
Material: Ba2TlFeHg
Method: DFT, PBEsol
State: relaxed

a = 4.8530 Å, b = 6.3508 Å, c = 6.3508 Å
α = 90.00°, β = 90.00°, γ = 90.00°
Each line ends with the local moment (μB).
Sites, in units of the cell vectors:
Ba  0.0000  0.5000  0.0000  -0.05
Ba  0.0000  0.0000  0.5000  -0.05
Tl  0.5000  0.5000  0.5000  -0.03
Hg  0.0000  0.0000  0.0000  -0.05
Fe  0.5000  0.0000  0.0000  2.91

DFT formation energy in eV/atom: 0.36
Total DFT energy (no corrections) in eV/atom: -2.9342
V in Å³ per cell: 195.7
M_tot in μB/f.u.: 2.50



# 3
Material: BaHoFe4O7
Method: DFT, PBEsol
State: relaxed

a = 6.1901 Å, b = 6.2940 Å, c = 6.1901 Å
α = 60.54°, β = 90.00°, γ = 119.46°
Each line ends with the local moment (μB).
Sites, in units of the cell vectors:
Fe  0.6176  0.7737  0.6301  3.61
Fe  0.5962  0.2263  0.6176  3.61
Fe  0.6301  0.2263  0.1562  3.61
Fe  0.1562  0.7737  0.5962  3.61
O  0.2673  0.9455  0.2255  0.22
O  0.7500  0.5000  0.7500  0.35
O  0.6782  0.9455  0.8290  0.22
O  0.2456  0.4912  0.7544  0.23
O  0.7544  0.5088  0.2456  0.23
O  0.8290  0.0545  0.2673  0.22
O  0.2255  0.0545  0.6782  0.22
Ho  0.0000  0.0000  0.0000  0.15
Ba  0.2500  0.5000  0.2500  0.01

Formation energy (no corrections) in kJ/mol of atoms: -172.2
Total DFT energy (no corrections) in eV/atom: -7.9154
V in Å³ per cell: 173.3
M_tot in μB/f.u.: 17.00



# 4
Material: Ba4Fe2S4I5
Method: DFT, PBEsol
State: relaxed

a = 4.9867 Å, b = 9.9287 Å, c = 9.9287 Å
α = 86.38°, β = 75.46°, γ = 75.46°
Each line ends with the local moment (μB).
Sites, in units of the cell vectors:
S  0.9026  0.6778  0.5171  0.02
S  0.0974  0.3222  0.4829  0.02
S  0.4197  0.4829  0.6778  0.02
S  0.5803  0.5171  0.3222  0.02
I  0.2946  0.3390  0.0718  0.00
I  0.6336  0.0718  0.6610  0.00
I  0.3664  0.9282  0.3390  0.00
I  0.7054  0.6610  0.9282  0.00
I  0.0000  0.0000  0.0000  0.00
Ba  0.0561  0.6923  0.1955  0.00
Ba  0.9439  0.3077  0.8045  0.00
Ba  0.2516  0.8045  0.6923  0.00
Ba  0.7484  0.1955  0.3077  0.00
Fe  0.2500  0.5000  0.5000  0.40
Fe  0.7500  0.5000  0.5000  0.40

Formation energy (no corrections) in kJ/mol of atoms: -143.9
Total DFT energy (no corrections) in eV/atom: -5.0176
V in Å³ per cell: 460.6
M_tot in μB/f.u.: 1.01